DFT (PBE) results for a relaxed In2SiAs2 crystal.

Structure (POSCAR):
```
In2SiAs2
1.0
7.585 0.000 0.000
0.000 7.585 0.000
0.000 0.000 3.937
In Si As
4 2 4
Direct
0.144 0.356 0.000
0.356 0.856 0.000
0.644 0.144 0.000
0.856 0.644 0.000
0.000 0.000 0.500
0.500 0.500 0.500
0.173 0.673 0.500
0.327 0.173 0.500
0.673 0.827 0.500
0.827 0.327 0.500
```

Output
Magnetic moment ... 0.00 μB/cell
Raw formation energy ... 6.3 kcal/mol of atoms
Symmetry ... P4/mbm (127)
Total energy ... -3.769 eV per atom